Here is crystalline SrV2NiS8 at its relaxed geometry from the Alexandria database. Energies are from PBE-GGA.

Summary:
The raw formation energy is -14.24 kcal/mol of atoms.

Cell: 5.859 5.859 9.237 Å, 71.51 71.51 60.00°
Fractional coordinates of all 12 atoms:
1 Ni 0.000 0.000 0.000
2 S 0.071 0.359 0.839
3 S 0.732 0.071 0.839
4 S 0.359 0.732 0.839
5 S 0.929 0.641 0.161
6 S 0.641 0.268 0.161
7 S 0.268 0.929 0.161
8 S 0.174 0.174 0.477
9 S 0.826 0.826 0.523
10 Sr 0.500 0.500 0.500
11 V 0.743 0.743 0.771
12 V 0.257 0.257 0.229